Record 1
## Y2InPb (GGA-PBE)

Data for crystalline Y2InPb at its relaxed geometry.

Cell: 7.131 8.780 3.512 Å, 90.00 90.00 90.00°
Space group Cmmm (No. 65)
One atom of each set of equivalent atoms:
Y: 0.250 0.250 0.000 [4 per cell]
In: 0.000 0.000 0.500 [2 per cell]
Pb: 0.000 0.500 0.500 [2 per cell]

Values from the calculation:
N(E_F): 2.52 states/eV/f.u.
ΔH_f (0 K): -470 meV per atom

=====

Record 2
## SmTlAg (GGA-PBE)

Data for crystalline SmTlAg at its relaxed geometry.

Cell: 11.123 4.988 6.916 Å, 90.00 128.43 90.00°
Space group C2/m (No. 12)
One atom of each set of equivalent atoms:
Sm: 0.000 0.000 0.245 [4 per cell]
Tl: 0.173 0.500 0.672 [4 per cell]
Ag: 0.161 0.500 0.162 [4 per cell]

Values from the calculation:
N(E_F): 1.63 states/eV/f.u.
ΔH_f (0 K): -272 meV per atom